A relaxed Y4ErPu crystal. Source: the Alexandria database, functional PBE.

```
data_Y4ErPu
_cell_length_a 15.3646
_cell_length_b 3.5295
_cell_length_c 7.0824
_cell_angle_alpha 90.00
_cell_angle_beta 103.39
_cell_angle_gamma 90.00
_symmetry_space_group_name_H-M 'C 1 2/m 1'
_symmetry_Int_Tables_number 12
_symmetry_space_group_name_Hall '-C 2y'
loop_
_atom_site_label
_atom_site_type_symbol
_atom_site_fract_x
_atom_site_fract_y
_atom_site_fract_z
_atom_site_occupancy
Y1 Y 0.1628 0.0000 0.3333 1
Y2 Y 0.1652 0.0000 0.8316 1
Er1 Er 0.0000 0.5000 0.0000 1
Pu1 Pu 0.0000 0.5000 0.5000 1
```

Calculated values
The value obtained for the formation energy is 7 kJ/mol of atoms. The total energy comes out at -7.384 eV/atom.